No. 1
The following is a meta-GGA SCAN calculation of a crystal of ScCuAg2 relaxed with PBEsol, from Alexandria.

DFT formation energy = -0.16 eV per atom
offset from the most stable computed form = 8 meV per atom
DFT total energy = -0.8528 hartree per atom
crystal system = tetragonal
DOS(E_F) = 1.65 states/eV/f.u.

a b c (Å): 4.0131 4.0131 8.0923
angles (deg): 90.00 90.00 90.00
Space group I4/mmm (No. 139)
Asymmetric unit:
Sc 0.0000 0.0000 0.0000 x2
Cu 0.0000 0.0000 0.5000 x2
Ag 0.0000 0.5000 0.2500 x4



No. 2
The following is a meta-GGA SCAN calculation of a crystal of MgTc2Te relaxed with PBEsol, from Alexandria.

E_form (uncorrected) = 0.369 eV per atom
DFT total energy = -1.0186 hartree per atom
crystal system = monoclinic
DOS(E_F) = 4.73 states/eV/f.u.

a b c (Å): 8.9025 3.0748 4.9118
angles (deg): 90.00 100.80 90.00
Space group C2/m (No. 12)
Asymmetric unit:
Mg 0.0000 0.0000 0.0000 x2
Tc 0.2417 0.0000 0.7451 x4
Te 0.0000 0.5000 0.5000 x2



No. 3
The following is a meta-GGA SCAN calculation of a crystal of K3CrF relaxed with PBEsol, from Alexandria.

E_form (uncorrected) = -0.052 eV per atom
DFT total energy = -0.3467 hartree per atom
crystal system = cubic
DOS(E_F) = 2.39 states/eV/f.u.

a b c (Å): 6.4907 6.4907 6.4907
angles (deg): 90.00 90.00 90.00
Space group Pm-3m (No. 221)
Asymmetric unit:
K 0.0000 0.0000 0.5000 x3
Cr 0.0000 0.0000 0.0000 x1
F 0.5000 0.5000 0.5000 x1



No. 4
The following is a meta-GGA SCAN calculation of a crystal of ScMo2Br relaxed with PBEsol, from Alexandria.

E_form (uncorrected) = 0.410 eV per atom
offset from the most stable computed form = 25 meV per atom
DFT total energy = -0.9355 hartree per atom
crystal system = tetragonal
DOS(E_F) = 2.20 states/eV/f.u.

a b c (Å): 3.6805 3.6805 5.0340
angles (deg): 90.00 90.00 90.00
Space group P4/mmm (No. 123)
Asymmetric unit:
Sc 0.0000 0.0000 0.0000 x1
Mo 0.0000 0.5000 0.5000 x2
Br 0.5000 0.5000 0.0000 x1